Record 1
The following is a DFT calculation (PBE) of a geometry-optimized GaMoBr2 structure.

The excess energy over the best structure of this formula in the dataset is 0.0079 eV per atom. For the uncorrected formation energy, the calculation gives 146 meV/atom. As for the volume: 456.5 Å³ per cell.

It has space group I-42d (No. 122), with a = 9.369 Å, b = 9.369 Å, c = 5.201 Å, α = 90.00°, β = 90.00° and γ = 90.00°. Symmetry generates all atoms from Ga at (0.000, 0.000, 0.000), Mo at (0.000, 0.000, 0.500) and Br at (0.109, 0.250, 0.625).

=====

Record 2
The following is a DFT calculation (PBE) of a geometry-optimized GaReSnTe2 structure.

For the uncorrected formation energy, the calculation gives 1418 meV/atom. As for the volume: 147.2 Å³ per cell.

It has space group P4/mmm (No. 123), with a = 5.364 Å, b = 5.364 Å, c = 5.114 Å, α = 90.00°, β = 90.00° and γ = 90.00°. Symmetry generates all atoms from Ga at (0.000, 0.000, 0.000), Re at (0.500, 0.500, 0.500), Sn at (0.000, 0.000, 0.500) and Te at (0.000, 0.500, 0.000).

=====

Record 3
The following is a DFT calculation (PBE) of a geometry-optimized TaTc structure.

The value obtained for the formation energy is -24 kJ/mol of formula units. As for the volume: 259.5 Å³ per cell.

It has space group Fd-3m (No. 227, origin choice 2), with a = 6.378 Å, b = 6.378 Å, c = 6.378 Å, α = 90.00°, β = 90.00° and γ = 90.00°. Symmetry generates all atoms from Ta at (0.125, 0.125, 0.125) and Tc at (0.125, 0.125, 0.625).

=====

Record 4
The following is a DFT calculation (PBE) of a geometry-optimized GeSe2BrN structure.

The excess energy over the best structure of this formula in the dataset is 0.5082 eV per atom. For the uncorrected formation energy, the calculation gives 1364 meV/atom. As for the volume: 107.8 Å³ per cell.

It has space group P4/mmm (No. 123), with a = 5.327 Å, b = 5.327 Å, c = 3.800 Å, α = 90.00°, β = 90.00° and γ = 90.00°. Symmetry generates all atoms from Ge at (0.000, 0.000, 0.000), Se at (0.000, 0.500, 0.500), Br at (0.500, 0.500, 0.500) and N at (0.500, 0.500, 0.000).

=====

Record 5
The following is a DFT calculation (PBE) of a geometry-optimized BaAl2CoAu structure.

The value obtained for the formation energy is -30 kJ/mol of formula units. As for the volume: 121.9 Å³ per cell.

It has space group P4/mmm (No. 123), with a = 4.646 Å, b = 4.646 Å, c = 5.647 Å, α = 90.00°, β = 90.00° and γ = 90.00°. Symmetry generates all atoms from Ba at (0.000, 0.000, 0.000), Al at (0.000, 0.500, 0.500), Co at (0.000, 0.000, 0.500) and Au at (0.500, 0.500, 0.000).

=====

Record 6
The following is a DFT calculation (PBE) of a geometry-optimized Mg2CoW structure.

The value obtained for the formation energy is 348 kJ/mol of formula units. The excess energy over the best structure of this formula in the dataset is 0.7494 eV per atom. As for the volume: 263.5 Å³ per cell.

It has space group I-42d (No. 122), with a = 7.215 Å, b = 7.215 Å, c = 5.063 Å, α = 90.00°, β = 90.00° and γ = 90.00°. Symmetry generates all atoms from Mg at (0.209, 0.250, 0.125), Co at (0.000, 0.000, 0.000) and W at (0.000, 0.000, 0.500).

=====

Record 7
The following is a DFT calculation (PBE) of a geometry-optimized LaInRe structure.

The value obtained for the formation energy is 378 kJ/mol of formula units. The excess energy over the best structure of this formula in the dataset is 0.9655 eV per atom. As for the volume: 345.4 Å³ per cell.

It has space group F-43m (No. 216), with a = 7.017 Å, b = 7.017 Å, c = 7.017 Å, α = 90.00°, β = 90.00° and γ = 90.00°. Symmetry generates all atoms from La at (0.000, 0.000, 0.000), In at (0.250, 0.250, 0.250) and Re at (0.250, 0.250, 0.750).

=====

Record 8
The following is a DFT calculation (PBE) of a geometry-optimized Tb3Pm2PrP6 structure.

The value obtained for the formation energy is -1823 kJ/mol of formula units. As for the volume: 581.7 Å³ per cell.

It has space group C2/m (No. 12), with a = 7.089 Å, b = 12.277 Å, c = 7.088 Å, α = 90.00°, β = 109.45° and γ = 90.00°. Symmetry generates all atoms from Tb at (0.000, 0.000, 0.000), Tb at (0.000, 0.334, 0.000), Pm at (0.000, 0.167, 0.500), Pr at (0.000, 0.500, 0.500), P at (0.246, 0.168, 0.242) and P at (0.250, 0.000, 0.758).

=====

Record 9
The following is a DFT calculation (PBE) of a geometry-optimized SrCoWAu2 structure.

The value obtained for the formation energy is 1245 kJ/mol of formula units. As for the volume: 144.8 Å³ per cell.

It has space group P4/mmm (No. 123), with a = 5.332 Å, b = 5.332 Å, c = 5.093 Å, α = 90.00°, β = 90.00° and γ = 90.00°. Symmetry generates all atoms from Sr at (0.000, 0.000, 0.000), Co at (0.500, 0.500, 0.500), W at (0.000, 0.000, 0.500) and Au at (0.000, 0.500, 0.000).

=====

Record 10
The following is a DFT calculation (PBE) of a geometry-optimized MgPdPtPb structure.

The value obtained for the formation energy is -167 kJ/mol of formula units. As for the volume: 294.1 Å³ per cell.

It has space group F-43m (No. 216), with a = 6.650 Å, b = 6.650 Å, c = 6.650 Å, α = 90.00°, β = 90.00° and γ = 90.00°. Symmetry generates all atoms from Mg at (0.000, 0.000, 0.000), Pd at (0.250, 0.250, 0.250), Pt at (0.250, 0.250, 0.750) and Pb at (0.000, 0.000, 0.500).

=====

Record 11
The following is a DFT calculation (PBE) of a geometry-optimized ZrTa2Cd structure.

The value obtained for the formation energy is 88 kJ/mol of formula units. As for the volume: 79.5 Å³ per cell.

It has space group P4/mmm (No. 123), with a = 2.879 Å, b = 2.879 Å, c = 9.593 Å, α = 90.00°, β = 90.00° and γ = 90.00°. Symmetry generates all atoms from Zr at (0.000, 0.000, 0.000), Ta at (0.500, 0.500, 0.254) and Cd at (0.000, 0.000, 0.500).

=====

Record 12
The following is a DFT calculation (PBE) of a geometry-optimized Nd4CuSn structure.

The value obtained for the formation energy is -114 kJ/mol of formula units. As for the volume: 751.9 Å³ per cell.

It has space group Cmcm (No. 63), with a = 5.537 Å, b = 20.724 Å, c = 6.552 Å, α = 90.00°, β = 90.00° and γ = 90.00°. Symmetry generates all atoms from Nd at (0.000, 0.052, 0.250), Nd at (0.000, 0.203, 0.005), Nd at (0.000, 0.396, 0.250), Cu at (0.000, 0.083, 0.750) and Sn at (0.000, 0.351, 0.750).